# 1
FeBi2I | PBE | relaxed

a = 5.391 Å, b = 5.391 Å, c = 5.391 Å
α = 60.00°, β = 60.00°, γ = 60.00°
Each line ends with the local moment (μB).
Fractional coordinates of all 4 atoms:
Bi  0.250  0.250  0.250  -0.15
I  0.500  0.500  0.500  -0.04
Fe  0.000  0.000  0.000  3.06
Bi  0.750  0.750  0.750  -0.15

Values from the calculation:
distance to the lowest polymorph of the same formula	1.278	eV per formula unit
E_form (uncorrected)	0.744	eV/atom
VASP energy	-3.70	eV/atom

# 2
FeBi2I | PBE | relaxed

a = 6.817 Å, b = 6.817 Å, c = 7.897 Å
α = 64.43°, β = 64.43°, γ = 90.00°
Each line ends with the local moment (μB).
Fractional coordinates of all 8 atoms:
Fe  0.500  0.500  0.000  1.47
Bi  0.505  0.125  0.250  -0.17
I  0.750  0.250  0.500  -0.07
Bi  0.245  0.625  0.250  -0.17
I  0.000  0.000  0.000  -0.07
Fe  0.250  0.750  0.500  1.47
Bi  0.375  0.495  0.750  -0.17
Bi  0.875  0.755  0.750  -0.17

Values from the calculation:
distance to the lowest polymorph of the same formula	0.000	eV per formula unit
E_form (uncorrected)	0.425	eV/atom
VASP energy	-4.02	eV/atom

# 3
FeBi3I | PBE | relaxed

a = 5.235 Å, b = 5.235 Å, c = 5.235 Å
α = 90.00°, β = 90.00°, γ = 90.00°
Fractional coordinates of all 5 atoms:
Bi  0.500  0.000  0.000
Fe  0.000  0.000  0.000
Bi  0.000  0.500  0.000
I  0.500  0.500  0.500
Bi  0.000  0.000  0.500

Values from the calculation:
distance to the lowest polymorph of the same formula	0.000	eV per formula unit
E_form (uncorrected)	0.407	eV/atom
VASP energy	-3.92	eV/atom

# 4
FeBi2I8 | PBE | relaxed

a = 7.861 Å, b = 8.085 Å, c = 12.730 Å
α = 108.52°, β = 98.37°, γ = 90.00°
Each line ends with the local moment (μB).
Fractional coordinates of all 11 atoms:
Bi  0.096  0.830  0.660  0.01
I  0.556  0.188  0.376  0.01
Bi  0.904  0.170  0.340  0.01
I  0.052  0.168  0.853  0.07
I  0.876  0.719  0.437  0.01
I  0.444  0.812  0.624  0.01
I  0.948  0.832  0.147  0.07
I  0.948  0.315  0.147  0.07
Fe  0.000  0.000  0.000  3.34
I  0.052  0.685  0.853  0.07
I  0.124  0.281  0.563  0.01

Values from the calculation:
E_form (uncorrected)	-0.186	eV/atom
VASP energy	-2.79	eV/atom

# 5
Fe2BiI2 | PBE | relaxed

a = 5.265 Å, b = 5.265 Å, c = 5.814 Å
α = 63.08°, β = 63.08°, γ = 90.00°
Each line ends with the local moment (μB).
Fractional coordinates of all 5 atoms:
Bi  0.000  0.000  0.000  -0.21
I  0.750  0.250  0.500  0.03
I  0.250  0.750  0.500  0.03
Fe  0.373  0.373  0.255  2.88
Fe  0.627  0.627  0.745  2.88

Values from the calculation:
distance to the lowest polymorph of the same formula	0.000	eV per formula unit
E_form (uncorrected)	0.704	eV/atom
VASP energy	-4.08	eV/atom

# 6
Fe3BiI9 | PBE | relaxed

a = 10.217 Å, b = 11.348 Å, c = 12.415 Å
α = 75.02°, β = 65.70°, γ = 63.25°
Each line ends with the local moment (μB).
Fractional coordinates of all 26 atoms:
I  0.476  0.503  0.220  0.16
I  0.744  0.404  0.589  0.14
I  0.031  0.584  0.218  0.09
I  0.167  0.084  0.718  0.09
I  0.082  0.568  0.531  0.14
I  0.301  0.201  0.335  0.08
I  0.483  0.249  0.560  0.10
I  0.383  0.290  0.926  0.08
I  0.401  0.790  0.426  0.08
I  0.263  0.904  0.089  0.14
Bi  0.476  0.999  0.505  -0.07
Fe  0.964  0.049  0.171  3.30
Fe  0.593  0.248  0.716  3.29
I  0.708  0.749  0.060  0.10
I  0.840  0.931  0.369  0.10
Fe  0.224  0.453  0.333  3.28
I  0.802  0.003  0.720  0.16
I  0.164  0.701  0.835  0.08
I  0.585  0.780  0.706  0.10
Fe  0.815  0.549  0.671  3.30
Fe  0.443  0.748  0.216  3.29
I  0.819  0.068  0.031  0.14
Bi  0.021  0.499  0.005  -0.07
I  0.929  0.280  0.206  0.10
Fe  0.990  0.953  0.833  3.28
I  0.860  0.431  0.869  0.10

Values from the calculation:
E_form (uncorrected)	-0.160	eV/atom
VASP energy	-3.48	eV/atom

The highest E_form (uncorrected) belongs to which entry? number 1

Among the records above, which one has the lowest VASP energy? Fe2BiI2

Number 3 is which compound? FeBi3I

Number 2 is which compound? FeBi2I